Entry 1:
Nd4DyHo3: relaxed, PBE-GGA.

extended XYZ file:
```
8
Lattice="5.5894 0.0000 -1.1141 -0.0716 3.6338 -0.3592 -0.2611 1.3034 13.2679" Properties=species:S:1:pos:R:3 pbc="T T T"
Nd 3.2783 2.0830 1.8690
Nd 1.9784 2.8542 9.9256
Nd 3.8884 2.3958 4.9297
Nd 1.3683 2.5414 6.8648
Ho 0.6882 4.0235 3.4527
Ho -0.0358 1.8169 -0.1796
Ho 4.5685 0.9137 8.3418
Dy 2.7947 0.0000 -0.5571
```

Space-group type: Cmmm (65)
Energy relative to the elements: 0.193 eV/atom
Polymorph energy (0 for the lowest one): 165 meV per atom

***

Entry 2:
OsPdW3: relaxed, PBE-GGA.

extended XYZ file:
```
5
Lattice="4.7204 0.0000 0.0000 0.0000 4.7204 0.0000 0.0000 0.0000 4.7204" Properties=species:S:1:pos:R:3 pbc="T T T"
W 0.0000 0.0000 2.3602
W 0.0000 2.3602 0.0000
W 2.3602 0.0000 0.0000
Os 0.0000 0.0000 0.0000
Pd 2.3602 2.3602 2.3602
```

Space-group type: Pm-3m (221)
Energy relative to the elements: 1.920 eV/atom
Polymorph energy (0 for the lowest one): 0 meV per atom

***

Entry 3:
Ti6CuBi3: relaxed, PBE-GGA.

extended XYZ file:
```
20
Lattice="4.3403 0.0000 0.0000 0.0000 8.4113 -3.5634 0.0000 -0.4821 11.1818" Properties=species:S:1:pos:R:3 pbc="T T T"
Ti 1.0851 7.6175 5.3983
Ti 3.2552 1.9119 4.6606
Ti 3.2552 3.9575 2.7171
Ti 3.2552 0.3117 2.2201
Ti 1.0851 0.9604 0.4053
Ti 1.0851 2.9742 8.8993
Ti 3.2552 7.7754 3.6627
Ti 1.0851 6.0173 2.9578
Ti 3.2552 6.9687 7.2131
Ti 1.0851 0.1538 3.9557
Ti 1.0851 3.9717 4.9013
Ti 3.2552 4.9549 -1.2809
Bi 1.0851 3.9136 0.5881
Bi 1.0851 1.1475 6.6164
Bi 1.0851 6.7372 -2.1220
Bi 3.2552 1.1919 9.7404
Bi 3.2552 4.0155 7.0303
Bi 3.2552 6.7817 1.0020
Cu 1.0851 2.2858 2.7864
Cu 3.2552 5.6434 4.8320
```

Space-group type: P2_1/m (11)
Energy relative to the elements: 0.003 eV/atom

***

Entry 4:
ZrRe2Sb: relaxed, PBE-GGA.

extended XYZ file:
```
4
Lattice="8.7440 0.0170 0.0100 8.1659 3.1266 0.0100 8.1659 1.5181 2.7333" Properties=species:S:1:pos:R:3 pbc="T T T"
Re 12.5608 2.3351 1.3792
Re 25.0530 4.6574 2.7509
Sb 6.2690 1.1654 0.6884
Zr 18.8069 3.4962 2.0651
```

Space-group type: R-3m (166)
Energy relative to the elements, uncorrected: 0.4686 eV per atom

***

Entry 5:
Mg2Ru: relaxed, PBE-GGA.

extended XYZ file:
```
6
Lattice="-1.5143 6.9200 2.6371 1.0906 -5.4645 -5.1072 -4.5342 -1.0523 0.1577" Properties=species:S:1:pos:R:3 pbc="T T T"
Mg -0.6300 -2.9368 -3.3226
Mg -4.3280 3.3400 1.0103
Mg -3.4731 -0.7244 -1.5312
Mg -1.4848 1.1275 -0.7811
Ru -2.3519 5.2499 1.7967
Ru -2.6061 -4.8467 -4.1090
```

Space-group type: Cmcm (63)
Energy relative to the elements: 0.045 eV/atom

***

Entry 6:
BeCr2Cu: relaxed, PBE-GGA.

extended XYZ file:
```
4
Lattice="2.3934 0.0148 0.0000 -0.6236 2.3108 0.0000 0.0000 0.0000 7.8294" Properties=species:S:1:pos:R:3 pbc="T T T"
Be 0.8849 1.1628 5.8559
Cr 0.8849 1.1628 1.9408
Cr 0.0000 0.0000 7.7090
Cu 0.0000 0.0000 4.0679
```

Space-group type: Cmm2 (35)
Energy relative to the elements: 0.082 eV/atom

***

Entry 7:
AgBr: relaxed, PBE-GGA.

extended XYZ file:
```
4
Lattice="7.7771 0.0234 0.0143 6.5889 4.1316 0.0143 6.5889 1.9057 3.6658" Properties=species:S:1:pos:R:3 pbc="T T T"
Ag 15.6559 4.5281 2.7602
Ag 0.0602 0.0174 0.0106
Br 6.0197 1.7411 1.0613
Br 9.6964 2.8044 1.7095
```

Space-group type: R-3m (166)
Energy relative to the elements, uncorrected: -0.2642 eV per atom

***

Entry 8:
NaInPb4: relaxed, PBE-GGA.

extended XYZ file:
```
12
Lattice="-6.0898 -1.5352 0.0849 5.5062 -1.4539 -8.0008 1.6362 -6.3642 2.2825" Properties=species:S:1:pos:R:3 pbc="T T T"
Pb -1.7345 -5.5226 1.7451
Pb 3.4001 -6.8318 -0.2959
Pb 2.7870 -3.8306 -7.3786
Pb -2.3475 -2.5214 -5.3375
Pb -1.5310 -5.6974 -4.1984
Pb 1.9805 -6.4516 -3.5082
Pb 2.5835 -3.6558 -1.4350
Pb -0.9280 -2.9016 -2.1252
In -0.1259 -6.0994 -1.0163
In 1.1784 -3.2538 -4.6171
Na -4.7896 -6.3126 1.7325
Na 5.8421 -3.0406 -7.3659
```

Space-group type: P2_1/m (11)
Energy relative to the elements: -0.014 eV/atom
Polymorph energy (0 for the lowest one): 12 meV per atom

***

Number 1: calculated volume 271.14 Å³ per cell, size of the total moment 0.00 μB per cell. Number 2: calculated volume 105.18 Å³ per cell, size of the total moment 0.00 μB per cell. Number 3: calculated volume 400.76 Å³ per cell, size of the total moment 0.03 μB per cell. Number 4: calculated volume 74.08 Å³ per cell, size of the total moment 0.00 μB per cell. Number 5: calculated volume 100.13 Å³ per cell, size of the total moment 0.39 μB per cell. Number 6: calculated volume 43.37 Å³ per cell, size of the total moment 0.00 μB per cell. Number 7: calculated volume 116.80 Å³ per cell, size of the total moment 0.00 μB per cell. Number 8: calculated volume 366.91 Å³ per cell, size of the total moment 0.00 μB per cell.